Entry 1:
An optimized crystal structure of PrZr3Cl15. Source: OQMD via LeMat-Bulk, functional PBE.

```
19
Lattice="-6.124 6.909 0.852 -2.888 -8.024 3.639 8.630 2.330 2.461" Properties=species:S:1:pos:R:3 pbc="T T T"
Cl -5.899 2.800 2.189
Cl -4.429 -3.984 3.455
Cl -2.358 -0.159 1.886
Cl 0.605 2.504 1.583
Cl 1.437 -1.337 2.300
Cl -1.933 6.365 1.783
Cl 0.652 -5.561 4.009
Cl -2.369 3.006 3.256
Cl -1.202 -2.376 4.261
Cl -2.154 0.561 5.505
Cl 2.949 1.355 3.836
Cl 4.770 4.284 2.514
Cl 5.884 -0.858 3.473
Cl 0.280 2.749 5.256
Cl 0.964 -0.407 5.845
Pr -0.186 0.595 3.403
Zr -3.481 4.034 1.416
Zr -1.669 -4.330 2.977
Zr 4.782 1.469 2.317
```

calculated total energy	-4.768	eV/atom
theoretical density	3.19	g/cm3

***

Entry 2:
An optimized crystal structure of PtCl2. Source: OQMD via LeMat-Bulk, functional PBE.

```
6
Lattice="3.817 2.204 6.234 -3.817 2.204 6.234 0.000 -4.408 6.234" Properties=species:S:1:pos:R:3 pbc="T T T"
Cl 0.000 0.000 7.013
Cl 1.909 1.102 10.130
Cl -1.909 1.102 10.130
Cl 0.000 -2.204 10.130
Pt 0.000 0.000 4.675
Pt 0.000 0.000 9.350
```

calculated total energy	-3.196	eV/atom
theoretical density	2.81	g/cm3

***

Entry 3:
An optimized crystal structure of PtCl2. Source: OQMD via LeMat-Bulk, functional PBE.

```
6
Lattice="6.994 0.000 0.000 0.000 6.994 0.000 0.000 0.000 3.439" Properties=species:S:1:pos:R:3 pbc="T T T"
Cl 2.390 2.390 0.000
Cl 4.604 4.604 0.000
Cl 5.886 1.107 1.720
Cl 1.107 5.886 1.720
Pt 0.000 0.000 0.000
Pt 3.497 3.497 1.720
```

calculated total energy	-3.559	eV/atom
theoretical density	5.25	g/cm3

***

Entry 4:
An optimized crystal structure of Pt2Cl. Source: OQMD via LeMat-Bulk, functional PBE.

```
6
Lattice="5.246 0.650 4.966 6.619 -2.639 -1.351 5.544 4.531 -1.154" Properties=species:S:1:pos:R:3 pbc="T T T"
Cl 4.352 0.635 0.615
Cl 8.704 1.271 1.231
Pt 9.151 1.278 3.406
Pt 9.838 -0.367 0.248
Pt 6.528 0.953 0.923
Pt 9.301 3.218 0.346
```

distance to the lowest polymorph of the same formula	482	meV/atom
calculated total energy	-3.389	eV/atom
theoretical density	5.24	g/cm3

***

Entry 5:
An optimized crystal structure of PtCl2. Source: OQMD via LeMat-Bulk, functional PBE.

```
6
Lattice="0.000 3.882 3.882 3.882 0.000 3.882 3.882 3.882 0.000" Properties=species:S:1:pos:R:3 pbc="T T T"
Cl 2.911 2.911 4.852
Cl 2.911 4.852 2.911
Cl 4.852 2.911 2.911
Cl 4.852 4.852 4.852
Pt 0.000 0.000 0.000
Pt 1.941 1.941 1.941
```

calculated total energy	-1.812	eV/atom
theoretical density	7.55	g/cm3

***

Entry 6:
An optimized crystal structure of PtCl. Source: OQMD via LeMat-Bulk, functional PBE.

```
2
Lattice="-1.862 -2.200 1.053 1.362 -0.320 -2.731 3.256 -1.873 1.843" Properties=species:S:1:pos:R:3 pbc="T T T"
Cl 1.655 -2.978 1.174
Pt 1.101 -1.415 -1.009
```

calculated total energy	-3.225	eV/atom
theoretical density	11.22	g/cm3